Entry 1:
A plane-wave DFT calculation with PBE was carried out for a relaxed structure of KBPb.

```
KBPb
1.0
-0.880 -3.057 2.660
16.546 -8.164 -3.908
9.360 -3.771 1.996
Pb B K
3 3 3
Cartesian
14.706 -8.206 1.900
19.618 -10.629 0.740
7.638 -6.844 1.127
8.573 -4.719 0.645
15.366 -7.440 -0.234
19.068 -9.267 -1.109
11.259 -6.811 2.362
16.186 -10.595 -0.356
22.705 -12.459 -0.341
```

Properties
Total magnetization: 0.00 μB per formula unit
E_form: 0.805 eV per atom

---

Entry 2:
A plane-wave DFT calculation with PBE was carried out for a relaxed structure of SnS.

```
SnS
1.0
6.113 0.000 0.000
0.000 6.008 0.000
0.000 0.000 11.448
S Sn
8 8
Cartesian
5.436 5.544 5.696
4.038 3.554 2.375
0.677 2.540 0.028
0.981 5.458 9.073
2.075 0.550 3.349
2.380 3.468 5.752
3.733 0.464 11.421
5.131 2.454 8.100
4.544 0.169 2.549
1.569 3.173 3.175
4.191 3.041 11.186
1.922 0.038 5.987
4.978 2.966 5.462
1.487 2.835 8.900
1.135 5.970 0.262
4.625 5.839 8.273
```

Properties
Formation energy from raw total energies: -0.4239 eV/atom
Total magnetization: 0.00 μB per formula unit

---

Entry 3:
A plane-wave DFT calculation with PBE was carried out for a relaxed structure of Tb3Sc4Bi4.

```
Tb3Sc4Bi4
1.0
4.227 0.000 0.000
0.000 9.146 0.000
-2.114 -4.573 7.901
Tb Bi Sc
3 4 4
Cartesian
0.000 4.573 0.000
0.000 0.000 1.834
2.114 4.573 6.067
0.000 4.573 3.617
2.114 7.230 0.000
2.114 0.000 4.284
2.114 1.916 0.000
2.114 2.710 2.799
0.000 1.863 5.102
0.000 -1.863 5.102
2.114 6.436 2.799
```

Properties
Total magnetization: 0.00 μB per formula unit
E_form: -0.559 eV per atom

---

> What is the total magnetization in the first record?

0.00 μB per formula unit

---

> What is the total magnetization in the third record?

0.00 μB per formula unit